# GGA-PBE LuHfV, optimized geometry
# - size of the total moment (μB/atom) = 0.02
# - calculated density (g/cm³) = 10.409
# - crystal system = tetragonal
# - density of states at the Fermi level (states/eV/cell) = 4.9
# - DFT formation energy (eV/atom) = 0.240
data_LuHfV
_chemical_formula_sum 'Lu1 Hf1 V1'
_symmetry_space_group_name_H-M 'P 1'
_symmetry_Int_Tables_number 1
_cell_length_a 3.5037
_cell_length_b 3.5037
_cell_length_c 5.8100
_cell_angle_alpha 107.55
_cell_angle_beta 107.55
_cell_angle_gamma 90.00
loop_
_symmetry_equiv_pos_as_xyz
'x,y,z'
loop_
_atom_site_label
_atom_site_type_symbol
_atom_site_fract_x
_atom_site_fract_y
_atom_site_fract_z
Hf1 Hf 0.5820 0.5820 0.1639
Lu1 Lu 0.2899 0.2899 0.5798
V1 V 0.9781 0.9781 0.9563

***

# GGA-PBE CsYIr2, optimized geometry
# - size of the total moment (μB/atom) = 0.00
# - calculated density (g/cm³) = 7.876
# - crystal system = tetragonal
# - density of states at the Fermi level (states/eV/cell) = 6.0
# - E above lowest polymorph (eV per formula unit) = 0.00
# - DFT formation energy (eV/atom) = 0.539
data_CsYIr2
_chemical_formula_sum 'Cs2 Y2 Ir4'
_symmetry_space_group_name_H-M 'P 1'
_symmetry_Int_Tables_number 1
_cell_length_a 5.1926
_cell_length_b 5.1926
_cell_length_c 10.1668
_cell_angle_alpha 75.20
_cell_angle_beta 75.20
_cell_angle_gamma 90.00
loop_
_symmetry_equiv_pos_as_xyz
'x,y,z'
loop_
_atom_site_label
_atom_site_type_symbol
_atom_site_fract_x
_atom_site_fract_y
_atom_site_fract_z
Ir1 Ir 0.3750 0.6261 0.7500
Ir2 Ir 0.8750 0.6239 0.7500
Ir3 Ir 0.3761 0.6250 0.2500
Ir4 Ir 0.3739 0.1250 0.2500
Cs1 Cs 0.7500 0.2500 0.5000
Cs2 Cs 0.0000 0.0000 0.0000
Y1 Y 0.2500 0.7500 0.5000
Y2 Y 0.5000 0.5000 0.0000

***

# GGA-PBE CsLi2Be2, optimized geometry
# - size of the total moment (μB/atom) = 0.00
# - calculated density (g/cm³) = 1.913
# - crystal system = tetragonal
# - density of states at the Fermi level (states/eV/cell) = 3.6
# - E above lowest polymorph (eV per formula unit) = 0.31
# - DFT formation energy (eV/atom) = 0.742
data_CsLi2Be2
_chemical_formula_sum 'Cs1 Li2 Be2'
_symmetry_space_group_name_H-M 'P 1'
_symmetry_Int_Tables_number 1
_cell_length_a 4.7039
_cell_length_b 4.7039
_cell_length_c 7.2715
_cell_angle_alpha 71.13
_cell_angle_beta 71.13
_cell_angle_gamma 90.00
loop_
_symmetry_equiv_pos_as_xyz
'x,y,z'
loop_
_atom_site_label
_atom_site_type_symbol
_atom_site_fract_x
_atom_site_fract_y
_atom_site_fract_z
Be1 Be 0.7500 0.2500 0.5000
Be2 Be 0.2500 0.7500 0.5000
Cs1 Cs 0.0000 0.0000 0.0000
Li1 Li 0.2866 0.2866 0.4268
Li2 Li 0.7134 0.7134 0.5732

***

# GGA-PBE Nd6Sn2N, optimized geometry
# - formation energy (no corrections) (kJ/mol of formula units) = -394
# - size of the total moment (μB/atom) = 0.12
# - calculated density (g/cm³) = 7.277
# - crystal system = orthorhombic
# - density of states at the Fermi level (states/eV/cell) = 11.0
# - E above lowest polymorph (eV per formula unit) = 1.81
data_Nd6Sn2N
_chemical_formula_sum 'Nd6 Sn2 N1'
_symmetry_space_group_name_H-M 'P 1'
_symmetry_Int_Tables_number 1
_cell_length_a 3.7029
_cell_length_b 9.1745
_cell_length_c 8.7936
_cell_angle_alpha 121.44
_cell_angle_beta 90.00
_cell_angle_gamma 90.00
loop_
_symmetry_equiv_pos_as_xyz
'x,y,z'
loop_
_atom_site_label
_atom_site_type_symbol
_atom_site_fract_x
_atom_site_fract_y
_atom_site_fract_z
Nd1 Nd 0.5000 0.9822 0.5862
Nd2 Nd 0.5000 0.3960 0.4138
Nd3 Nd 0.0000 0.9984 0.2118
Nd4 Nd 0.5000 0.5840 0.0000
Nd5 Nd 0.0000 0.7867 0.7882
Nd6 Nd 0.0000 0.2323 0.0000
Sn1 Sn 0.0000 0.6485 0.3382
Sn2 Sn 0.0000 0.3103 0.6618
N1 N 0.5000 0.0616 0.0000

***

# GGA-PBE Zr2HgBr, optimized geometry
# - formation energy (no corrections) (kJ/mol of formula units) = -89
# - size of the total moment (μB/atom) = 0.00
# - calculated density (g/cm³) = 8.756
# - crystal system = trigonal
# - density of states at the Fermi level (states/eV/cell) = 3.0
# - E above lowest polymorph (eV per formula unit) = 0.63
data_Zr2HgBr
_chemical_formula_sum 'Zr2 Hg1 Br1'
_symmetry_space_group_name_H-M 'P 1'
_symmetry_Int_Tables_number 1
_cell_length_a 9.7130
_cell_length_b 9.7130
_cell_length_c 9.7130
_cell_angle_alpha 19.33
_cell_angle_beta 19.33
_cell_angle_gamma 19.33
loop_
_symmetry_equiv_pos_as_xyz
'x,y,z'
loop_
_atom_site_label
_atom_site_type_symbol
_atom_site_fract_x
_atom_site_fract_y
_atom_site_fract_z
Br1 Br 0.2500 0.2500 0.2500
Hg1 Hg 0.7500 0.7500 0.7500
Zr1 Zr 0.9966 0.9966 0.9966
Zr2 Zr 0.5034 0.5034 0.5034

***

Please write out number 5 again, unchanged.
# GGA-PBE Zr2HgBr, optimized geometry
# - formation energy (no corrections) (kJ/mol of formula units) = -89
# - size of the total moment (μB/atom) = 0.00
# - calculated density (g/cm³) = 8.756
# - crystal system = trigonal
# - density of states at the Fermi level (states/eV/cell) = 3.0
# - E above lowest polymorph (eV per formula unit) = 0.63
data_Zr2HgBr
_chemical_formula_sum 'Zr2 Hg1 Br1'
_symmetry_space_group_name_H-M 'P 1'
_symmetry_Int_Tables_number 1
_cell_length_a 9.7130
_cell_length_b 9.7130
_cell_length_c 9.7130
_cell_angle_alpha 19.33
_cell_angle_beta 19.33
_cell_angle_gamma 19.33
loop_
_symmetry_equiv_pos_as_xyz
'x,y,z'
loop_
_atom_site_label
_atom_site_type_symbol
_atom_site_fract_x
_atom_site_fract_y
_atom_site_fract_z
Br1 Br 0.2500 0.2500 0.2500
Hg1 Hg 0.7500 0.7500 0.7500
Zr1 Zr 0.9966 0.9966 0.9966
Zr2 Zr 0.5034 0.5034 0.5034